[1]
A relaxed LiAlPt crystal. Source: Alexandria via LeMat-Bulk, functional PBEsol.

- V (Å³/cell) = 40.4
- M_tot (μB per formula unit) = 0.00
- E_form (eV per atom) = -0.73
- E (eV per atom) = -5.07
- density (g cm⁻³) = 9.4

Cell: 4.1428 4.1428 2.7160 Å, 90.00 90.00 120.00°
Space group P3m1 (No. 156)
Asymmetric unit:
Li (0.0000, 0.0000, 0.0000) [1 per cell]
Al (0.6667, 0.3333, 0.7052) [1 per cell]
Pt (0.3333, 0.6667, 0.3425) [1 per cell]



[2]
A relaxed CaZrOs2 crystal. Source: Alexandria via LeMat-Bulk, functional PBEsol.

- V (Å³/cell) = 83.3
- M_tot (μB per formula unit) = 0.00
- E_form (eV per atom) = 0.29
- E (eV per atom) = -8.62
- density (g cm⁻³) = 10.2

Cell: 2.871 3.739 7.760 Å, 90.00 90.00 90.00°
Space group Pmm2 (No. 25)
Asymmetric unit:
Ca (0.000, 0.000, 0.000) [1 per cell]
Zr (0.500, 0.500, 0.631) [1 per cell]
Os (0.000, 0.000, 0.407) [1 per cell]
Os (0.500, 0.500, 0.282) [1 per cell]